## Cd4Au5 (SCAN)

Data for Cd4Au5 at its PBEsol-relaxed geometry.

Lattice parameters (Å, degrees): 8.1669 8.1669 5.6889 90.00 90.00 120.00
Space group P6_3/mcm (No. 193)
Asymmetric unit:
Cd1 0.0000 0.0000 0.0000
Cd2 0.0000 0.3619 0.2500
Au1 0.0000 0.3058 0.7500
Au2 0.3333 0.6667 0.0000

Fermi-level density of states   2.10 states/eV/f.u.
Formation energy   -0.18 eV per atom
Total magnetization   0.0 μB per formula unit



## Tm2Ga2Fe15 (SCAN)

Data for Tm2Ga2Fe15 at its PBEsol-relaxed geometry.

Lattice parameters (Å, degrees): 8.1678 8.1678 8.1924 90.00 90.00 120.00
Space group P6_3/mmc (No. 194)
Asymmetric unit:
Tm1 0.0000 0.0000 0.2500
Tm2 0.3333 0.6667 0.2500
Ga1 0.3333 0.6667 0.6004
Fe1 0.0000 0.5000 0.0000
Fe2 0.0281 0.3586 0.7500
Fe3 0.1648 0.3296 0.0118

Fermi-level density of states   16.70 states/eV/f.u.
Formation energy   -0.03 eV per atom
Total magnetization   34.1 μB per formula unit



## Ca3TlRu (SCAN)

Data for Ca3TlRu at its PBEsol-relaxed geometry.

Lattice parameters (Å, degrees): 5.347 5.347 5.347 90.00 90.00 90.00
Space group Pm-3m (No. 221)
Asymmetric unit:
Ca1 0.000 0.000 0.500
Tl1 0.500 0.500 0.500
Ru1 0.000 0.000 0.000

Fermi-level density of states   3.44 states/eV/f.u.
Formation energy   0.09 eV per atom
Total magnetization   0.0 μB per formula unit



Q: Which of these has the highest total magnetization?
A: Tm2Ga2Fe15



Q: Among the records above, which one has the highest formation energy?
A: Ca3TlRu



Q: Look up the total magnetization of the third one.
A: 0.0 μB per formula unit